Computed, not measured: Pr2TlZn3Pd4 after structural relaxation at the PBE level of DFT.

Calculated values
* energy of formation from the pure elements: -5.45 eV per formula unit
* space group: P-4m2 (115)

```
Pr2TlZn3Pd4
1.0
4.2673 0.0000 0.0000
0.0000 4.2673 0.0000
0.0000 0.0000 11.2249
Pd Pr Zn Tl
4 2 3 1
direct
0.0000 0.0000 0.0000
0.5000 0.5000 0.0000
0.0000 0.5000 0.3449
0.5000 0.0000 0.6551
0.5000 0.0000 0.2378
0.0000 0.5000 0.7622
0.0000 0.5000 0.1241
0.5000 0.0000 0.8759
0.0000 0.0000 0.5000
0.5000 0.5000 0.5000
```